First-principles (PBE with a Hubbard U) data for an optimized crystal structure of NiPdOF2, as listed in Alexandria.

calculated volume: 60.0 Å³ per cell
relative energy among the computed polymorphs: 0.0 kJ per mole of atoms
total magnetization: 3.6 μB per formula unit
E_tot: -4.064 eV per atom
crystal system: tetragonal

a b c (Å): 3.8615 3.8615 4.0240
angles (deg): 90.00 90.00 90.00
Space group P4/mmm (No. 123)
Inequivalent atoms, fractional coordinates:
Ni: 0.0000 0.0000 0.0000 x1
Pd: 0.5000 0.5000 0.5000 x1
O: 0.0000 0.0000 0.5000 x1
F: 0.0000 0.5000 0.0000 x2